1.
The following is a PBE calculation of Pm3DyTm2Sb6 after structural relaxation, from Alexandria via LeMat-Bulk.

## Properties
DFT total energy, eV/atom: -5.513
Calculated volume, Å³/f.u.: 367.0

a b c (Å): 19.2679 4.4253 8.8402
angles (deg): 90.00 103.12 90.00
Closest atoms and distances in Å follow each position.
Space group C2/m (No. 12)
Inequivalent atoms, fractional coordinates:
Pm 0.0000 0.0000 0.0000 [2 per cell]  6 Sb 3.16-3.17
Pm 0.1663 0.5000 0.3329 [4 per cell]  6 Sb 3.16-3.17
Dy 0.0000 0.0000 0.5000 [2 per cell]  6 Sb 3.10
Tm 0.1668 0.5000 0.8332 [4 per cell]  6 Sb 3.08
Sb 0.0025 0.5000 0.7465 [4 per cell]  1 Tm 3.08, 2 Dy 3.10, 3 Pm 3.16-3.17
Sb 0.1652 0.0000 0.5894 [4 per cell]  2 Tm 3.08, 1 Dy 3.10, 3 Pm 3.16-3.17
Sb 0.1690 0.0000 0.0773 [4 per cell]  3 Tm 3.08, 3 Pm 3.17

2.
The following is a PBE calculation of PmDy2TmSb4 after structural relaxation, from Alexandria via LeMat-Bulk.

## Properties
DFT total energy, eV/atom: -5.489
Calculated volume, Å³/f.u.: 241.2

a b c (Å): 7.6199 4.4040 7.6230
angles (deg): 90.00 109.48 90.00
Closest atoms and distances in Å follow each position.
Space group P2/m (No. 10)
Inequivalent atoms, fractional coordinates:
Pm 0.0000 0.0000 0.0000 [1 per cell]  6 Sb 3.14
Dy 0.0000 0.5000 0.5000 [1 per cell]  6 Sb 3.13
Dy 0.5000 0.0000 0.5000 [1 per cell]  6 Sb 3.08
Tm 0.5000 0.5000 0.0000 [1 per cell]  6 Sb 3.10
Sb 0.2546 0.0000 0.7499 [2 per cell]  3 Dy 3.08-3.13, 2 Tm 3.10, 1 Pm 3.14
Sb 0.2559 0.5000 0.2536 [2 per cell]  3 Dy 3.08-3.13, 1 Tm 3.10, 2 Pm 3.14

3.
The following is a PBE calculation of Pm2DyUSb4 after structural relaxation, from Alexandria via LeMat-Bulk.

## Properties
DFT total energy, eV/atom: -6.151
Calculated volume, Å³/f.u.: 246.8

a b c (Å): 7.6714 4.4138 7.7132
angles (deg): 90.00 109.07 90.00
Closest atoms and distances in Å follow each position.
Space group P2/m (No. 10)
Inequivalent atoms, fractional coordinates:
Pm 0.0000 0.0000 0.0000 [1 per cell]  6 Sb 3.17
Pm 0.0000 0.5000 0.5000 [1 per cell]  6 Sb 3.17-3.18
Dy 0.5000 0.0000 0.5000 [1 per cell]  6 Sb 3.10-3.11
U 0.5000 0.5000 0.0000 [1 per cell]  6 Sb 3.09-3.11
Sb 0.2569 0.0000 0.7517 [2 per cell]  1 Dy 3.10, 2 U 3.11, 3 Pm 3.17
Sb 0.2586 0.5000 0.2514 [2 per cell]  1 U 3.09, 2 Dy 3.11, 3 Pm 3.17-3.18

4.
The following is a PBE calculation of PmDy2USb4 after structural relaxation, from Alexandria via LeMat-Bulk.

## Properties
DFT total energy, eV/atom: -6.115
Calculated volume, Å³/f.u.: 242.5

a b c (Å): 6.2382 6.2382 12.4629
angles (deg): 90.00 90.00 90.00
Closest atoms and distances in Å follow each position.
Space group I-4m2 (No. 119)
Inequivalent atoms, fractional coordinates:
Pm 0.0000 0.0000 0.0000 [2 per cell]  6 Sb 3.12-3.15
Dy 0.0000 0.0000 0.5000 [2 per cell]  6 Sb 3.08-3.12
Dy 0.0000 0.5000 0.2500 [2 per cell]  6 Sb 3.12-3.14
U 0.0000 0.5000 0.7500 [2 per cell]  6 Sb 3.09-3.12
Sb 0.0000 0.0000 0.2526 [4 per cell]  3 Dy 3.08-3.12, 2 U 3.12, 1 Pm 3.15
Sb 0.0000 0.5000 0.5018 [4 per cell]  1 U 3.09, 3 Dy 3.12-3.14, 2 Pm 3.12

5.
The following is a PBE calculation of PmDyZnSb after structural relaxation, from Alexandria via LeMat-Bulk.

## Properties
DFT total energy, eV/atom: -4.233
Calculated volume, Å³/f.u.: 103.1

a b c (Å): 7.4425 7.4425 7.4425
angles (deg): 90.00 90.00 90.00
Closest atoms and distances in Å follow each position.
Space group F-43m (No. 216)
Inequivalent atoms, fractional coordinates:
Pm 0.0000 0.0000 0.0000 [4 per cell]  4 Sb 3.22, 4 Zn 3.22
Dy 0.0000 0.0000 0.5000 [4 per cell]  4 Sb 3.22, 4 Zn 3.22
Zn 0.2500 0.2500 0.7500 [4 per cell]  4 Dy 3.22, 4 Pm 3.22
Sb 0.2500 0.2500 0.2500 [4 per cell]  4 Dy 3.22, 4 Pm 3.22

6.
The following is a PBE calculation of Pm2Dy2Sc15 after structural relaxation, from Alexandria via LeMat-Bulk.

## Properties
DFT total energy, eV/atom: -5.742
Energy of formation from the pure elements, eV/atom: 0.241
Calculated volume, Å³/f.u.: 525.1

a b c (Å): 10.6375 10.6375 16.0744
angles (deg): 90.00 90.00 120.00
Closest atoms and distances in Å follow each position.
Space group R-3m (No. 166, hexagonal axes)
Inequivalent atoms, fractional coordinates:
Pm 0.0000 0.0000 0.1610 [6 per cell]  1 Dy 3.67, 12 Sc 3.70-3.97
Dy 0.0000 0.0000 0.3893 [6 per cell]  6 Sc 3.20-3.42, 1 Dy 3.56
Sc 0.0000 0.3024 0.5000 [18 per cell]  8 Sc 3.12-3.48
Sc 0.0000 0.5000 0.0000 [9 per cell]  8 Sc 3.14-3.15, 2 Dy 3.20
Sc 0.0113 0.5056 0.6429 [18 per cell]  6 Sc 3.06-3.15, 1 Dy 3.42